DFT (PBE) results for an optimized crystal structure of YHf3Tc.

Cell: 5.0437 5.0437 5.0437 Å, 90.00 90.00 90.00°
With the nearest neighbours (Å) after each atom.
Positions (direct):
Y  0.0000  0.0000  0.0000  12 Hf 3.57
Hf  0.0000  0.5000  0.5000  2 Tc 2.52
Hf  0.5000  0.0000  0.5000  2 Tc 2.52
Hf  0.5000  0.5000  0.0000  2 Tc 2.52
Tc  0.5000  0.5000  0.5000  6 Hf 2.52

Calculated values
Distance to the lowest polymorph of the same formula   0.00 eV/f.u.
Crystal system   cubic
ΔE_f   1.380 eV/f.u.

---

DFT (PBE) results for an optimized crystal structure of VFeCuPd.

Cell: 4.2069 4.2069 4.2069 Å, 60.00 60.00 60.00°
With the nearest neighbours (Å) after each atom.
Positions (direct):
V  0.0000  0.0000  0.0000  4 Fe 2.58, 4 Pd 2.58
Fe  0.7500  0.7500  0.7500  4 Cu 2.58, 4 V 2.58
Cu  0.5000  0.5000  0.5000  4 Fe 2.58, 4 Pd 2.58
Pd  0.2500  0.2500  0.2500  4 Cu 2.58, 4 V 2.58

Calculated values
Crystal system   cubic
ΔE_f   0.099 eV/f.u.

---

DFT (PBE) results for an optimized crystal structure of PaZnSn2.

Cell: 5.1571 5.1571 5.1571 Å, 60.00 60.00 60.00°
With the nearest neighbours (Å) after each atom.
Positions (direct):
Pa  0.0000  0.0000  0.0000  8 Sn 3.16
Zn  0.5000  0.5000  0.5000  8 Sn 3.16
Sn  0.2500  0.2500  0.2500  4 Zn 3.16, 4 Pa 3.16
Sn  0.7500  0.7500  0.7500  4 Zn 3.16, 4 Pa 3.16

Calculated values
Distance to the lowest polymorph of the same formula   1.53 eV/f.u.
Crystal system   cubic
ΔE_f   0.531 eV/f.u.

---

DFT (PBE) results for an optimized crystal structure of MgAsO3.

Cell: 3.8079 3.8079 3.8079 Å, 90.00 90.00 90.00°
With the nearest neighbours (Å) after each atom.
Positions (direct):
Mg  0.0000  0.0000  0.0000  12 O 2.69
As  0.5000  0.5000  0.5000  6 O 1.90
O  0.0000  0.5000  0.5000  2 As 1.90
O  0.5000  0.0000  0.5000  2 As 1.90
O  0.5000  0.5000  0.0000  2 As 1.90

Calculated values
ΔE_f (raw)   -1.2048 eV per atom
Crystal system   cubic

---

DFT (PBE) results for an optimized crystal structure of PaSnGeS.

Cell: 5.0619 5.0619 7.0337 Å, 90.00 90.00 90.00°
With the nearest neighbours (Å) after each atom.
Positions (direct):
Pa  0.2500  0.2500  0.1390  4 S 2.71
Pa  0.7500  0.7500  0.8610  4 S 2.71
Sn  0.2500  0.7500  0.5000  4 Ge 2.86
Sn  0.7500  0.2500  0.5000  4 Ge 2.86
Ge  0.2500  0.2500  0.6885  4 Sn 2.86, 1 Pa 3.17
Ge  0.7500  0.7500  0.3115  4 Sn 2.86, 1 Pa 3.17
S  0.2500  0.7500  0.0000  4 Pa 2.71
S  0.7500  0.2500  0.0000  4 Pa 2.71

Calculated values
ΔE_f (raw)   -0.5321 eV per atom
Crystal system   tetragonal

---

DFT (PBE) results for an optimized crystal structure of AcNdSi2.

Cell: 3.9771 3.9771 6.6094 Å, 90.00 90.00 90.00°
With the nearest neighbours (Å) after each atom.
Positions (direct):
Ac  0.0000  0.0000  0.0000  2 Nd 3.30, 8 Si 3.48
Nd  0.0000  0.0000  0.5000  8 Si 3.08, 2 Ac 3.30
Si  0.5000  0.5000  0.3110  1 Si 2.50
Si  0.5000  0.5000  0.6890  1 Si 2.50

Calculated values
Distance to the lowest polymorph of the same formula   0.75 eV/f.u.
ΔE_f (raw)   -0.4554 eV per atom
Crystal system   tetragonal

---

DFT (PBE) results for an optimized crystal structure of CaNd2Y3Se6.

Cell: 9.3004 9.3004 8.3642 Å, 103.22 103.22 25.64°
With the nearest neighbours (Å) after each atom.
Positions (direct):
Ca  0.0000  0.0000  0.0000  6 Se 2.92-2.95
Nd  0.3285  0.3285  0.6581  6 Se 2.95-3.06
Nd  0.6715  0.6715  0.3419  6 Se 2.95-3.06
Y  0.0000  0.0000  0.5000  6 Se 2.84-2.93
Y  0.3304  0.3304  0.1704  6 Se 2.85-2.96
Y  0.6696  0.6696  0.8296  6 Se 2.85-2.96
Se  0.1611  0.1611  0.5902  3 Y 2.84-2.85, 3 Nd 2.95-2.97
Se  0.1658  0.1658  0.0738  3 Y 2.90-2.92, 1 Ca 2.92, 2 Nd 3.03
Se  0.4980  0.4980  0.2507  3 Y 2.93-2.96, 2 Ca 2.95, 1 Nd 3.06
Se  0.5020  0.5020  0.7493  3 Y 2.93-2.96, 2 Ca 2.95, 1 Nd 3.06
Se  0.8342  0.8342  0.9262  3 Y 2.90-2.92, 1 Ca 2.92, 2 Nd 3.03
Se  0.8389  0.8389  0.4098  3 Y 2.84-2.85, 3 Nd 2.95-2.97

Calculated values
ΔE_f (raw)   -1.8365 eV per atom
Crystal system   monoclinic

---

DFT (PBE) results for an optimized crystal structure of K2NiOs.

Cell: 5.4395 5.4395 5.4395 Å, 60.00 60.00 60.00°
With the nearest neighbours (Å) after each atom.
Positions (direct):
K  0.2500  0.2500  0.2500  4 Ni 3.33, 4 Os 3.33
K  0.7500  0.7500  0.7500  4 Os 3.33, 4 Ni 3.33
Ni  0.0000  0.0000  0.0000  8 K 3.33
Os  0.5000  0.5000  0.5000  8 K 3.33

Calculated values
Distance to the lowest polymorph of the same formula   4.78 eV/f.u.
Crystal system   cubic
ΔE_f   7.560 eV/f.u.